# 1
Below is KLiCd2Ge after structural relaxation, with properties calculated at the PBE-GGA level.

Cell lengths 5.453, 5.453, 5.118 Å; angles 90.00, 90.00, 90.00 degrees
Sites, in units of the cell vectors:
K: 0.000 0.000 0.000
Li: 0.500 0.500 0.000
Cd: 0.000 0.500 0.500
Cd: 0.500 0.000 0.500
Ge: 0.500 0.500 0.500

Calculated values
- VASP energy: -1.881 eV/atom


# 2
Below is TlInSn2Se4 after structural relaxation, with properties calculated at the PBE-GGA level.

Cell lengths 8.530, 8.530, 8.489 Å; angles 119.79, 119.79, 89.73 degrees
Sites, in units of the cell vectors:
Tl: 0.000 0.000 0.000
Tl: 0.000 0.000 0.500
In: 0.000 0.500 0.000
In: 0.500 0.000 0.500
Sn: 0.000 0.500 0.500
Sn: 0.500 0.000 0.000
Sn: 0.500 0.500 0.000
Sn: 0.500 0.500 0.500
Se: 0.257 0.743 0.003
Se: 0.257 0.743 0.497
Se: 0.263 0.268 0.015
Se: 0.268 0.263 0.515
Se: 0.732 0.737 0.485
Se: 0.737 0.732 0.985
Se: 0.743 0.257 0.503
Se: 0.743 0.257 0.997

Calculated values
- Formation energy from raw total energies: -392 meV/atom
- VASP energy: -3.773 eV/atom


# 3
Below is AsP2Os after structural relaxation, with properties calculated at the PBE-GGA level.

Cell lengths 2.854, 2.854, 9.014 Å; angles 90.00, 90.00, 119.80 degrees
Sites, in units of the cell vectors:
As: 0.000 0.000 0.000
P: 0.500 0.500 0.283
P: 0.500 0.500 0.717
Os: 0.000 0.000 0.500

Calculated values
- VASP energy: -6.176 eV/atom


# 4
Below is InWBr2 after structural relaxation, with properties calculated at the PBE-GGA level.

Cell lengths 5.478, 5.478, 3.357 Å; angles 90.00, 90.00, 90.09 degrees
Sites, in units of the cell vectors:
In: 0.000 0.000 0.000
W: 0.500 0.500 0.000
Br: 0.000 0.500 0.500
Br: 0.500 0.000 0.500

Calculated values
- Formation energy from raw total energies: 981 meV/atom
- VASP energy: -3.778 eV/atom
- Excess energy over the best structure of this formula in the dataset: 0.859 eV per atom


# 5
Below is TlMo2AsI after structural relaxation, with properties calculated at the PBE-GGA level.

Cell lengths 5.075, 5.075, 5.537 Å; angles 90.00, 90.00, 90.00 degrees
Sites, in units of the cell vectors:
Tl: 0.000 0.000 0.000
Mo: 0.000 0.500 0.500
Mo: 0.500 0.000 0.500
As: 0.500 0.500 0.000
I: 0.500 0.500 0.500

Calculated values
- Formation energy from raw total energies: 1859 meV/atom
- VASP energy: -4.187 eV/atom


# 6
Below is Tl2TePd after structural relaxation, with properties calculated at the PBE-GGA level.

Cell lengths 4.705, 4.705, 7.051 Å; angles 109.09, 109.09, 57.02 degrees
Sites, in units of the cell vectors:
Tl: 0.000 0.000 0.000
Tl: 0.198 0.198 0.618
Te: 0.424 0.424 0.311
Pd: 0.743 0.743 0.301

Calculated values
- Formation energy from raw total energies: -249 meV/atom
- VASP energy: -3.516 eV/atom
- Excess energy over the best structure of this formula in the dataset: 0.000 eV per atom


# 7
Below is Tm2PuHg after structural relaxation, with properties calculated at the PBE-GGA level.

Cell lengths 3.468, 3.468, 8.900 Å; angles 90.00, 90.00, 90.00 degrees
Sites, in units of the cell vectors:
Tm: 0.000 0.000 0.228
Tm: 0.000 0.000 0.772
Pu: 0.500 0.500 0.500
Hg: 0.500 0.500 0.000

Calculated values
- VASP energy: -6.042 eV/atom
- Excess energy over the best structure of this formula in the dataset: 0.000 eV per atom


# 8
Below is MoHIr2 after structural relaxation, with properties calculated at the PBE-GGA level.

Cell lengths 5.085, 5.085, 5.085 Å; angles 104.32, 104.32, 120.35 degrees
Sites, in units of the cell vectors:
Mo: 0.000 0.000 0.000
Mo: 0.750 0.250 0.500
H: 0.250 0.750 0.500
H: 0.500 0.500 0.000
Ir: 0.222 0.625 0.097
Ir: 0.375 0.472 0.597
Ir: 0.528 0.125 0.903
Ir: 0.875 0.778 0.403

Calculated values
- VASP energy: -7.798 eV/atom
- Excess energy over the best structure of this formula in the dataset: 0.000 eV per atom


# 9
Below is SrPb after structural relaxation, with properties calculated at the PBE-GGA level.

Cell lengths 4.190, 4.190, 9.042 Å; angles 90.00, 90.00, 90.00 degrees
Sites, in units of the cell vectors:
Sr: 0.250 0.250 0.180
Sr: 0.750 0.750 0.820
Pb: 0.250 0.250 0.579
Pb: 0.750 0.750 0.421

Calculated values
- VASP energy: -2.940 eV/atom


# 10
Below is Ac3Pt3Au2 after structural relaxation, with properties calculated at the PBE-GGA level.

Cell lengths 6.369, 6.369, 15.656 Å; angles 90.00, 90.00, 138.83 degrees
Sites, in units of the cell vectors:
Ac: 0.099 0.901 0.600
Ac: 0.099 0.901 0.900
Ac: 0.373 0.627 0.750
Ac: 0.627 0.373 0.250
Ac: 0.901 0.099 0.100
Ac: 0.901 0.099 0.400
Pt: 0.364 0.636 0.250
Pt: 0.404 0.596 0.545
Pt: 0.404 0.596 0.955
Pt: 0.596 0.404 0.045
Pt: 0.596 0.404 0.455
Pt: 0.636 0.364 0.750
Au: 0.203 0.797 0.110
Au: 0.203 0.797 0.390
Au: 0.797 0.203 0.610
Au: 0.797 0.203 0.890

Calculated values
- VASP energy: -5.582 eV/atom


> Which of these has the lowest VASP energy?

MoHIr2


> What is the formula in the second record?

TlInSn2Se4